DFT (PBE) results for SrThNi after structural relaxation.

Cell: 4.9611 4.9611 4.9611 Å, 60.00 60.00 60.00°
Closest atoms and distances in Å follow each position.
Fractional coordinates of all 3 atoms:
Sr: 0.0000 0.0000 0.0000  4 Ni 3.04
Th: 0.5000 0.5000 0.5000  4 Ni 3.04
Ni: 0.7500 0.7500 0.7500  4 Sr 3.04, 4 Th 3.04

Properties
Density in Mg/m³: 7.28
Relative energy among the computed polymorphs in meV per atom: 0